A relaxed Nd3DyTm3S8 crystal, computed with PBE-GGA.

Properties
Its uncorrected energy is -6.394 eV/atom. For the formation energy without anion corrections, the calculation gives -47.0 kcal/mol of atoms.

Unit cell a=7.8398 b=7.8397 c=7.9555 alpha=119.52 beta=90.00 gamma=120.00
Fractional positions:
S1 0.2618 0.0137 0.2655
S2 0.7519 0.0137 0.2655
S3 0.7519 0.5037 0.2655
S4 0.2481 0.4963 0.7345
S5 0.2481 0.9863 0.7345
S6 0.7432 0.4863 0.7295
S7 0.7382 0.9863 0.7345
S8 0.2568 0.5137 0.2705
Tm1 0.0000 0.5000 0.5000
Tm2 0.5000 0.5000 0.5000
Tm3 0.5000 0.0000 0.5000
Nd1 0.0000 0.5000 0.0000
Nd2 0.0000 0.0000 0.0000
Nd3 0.5000 0.5000 0.0000
Dy1 0.0000 0.0000 0.5000

=====

A relaxed Nd3DyTm2S6 crystal, computed with PBE-GGA.

Properties
Its uncorrected energy is -6.384 eV/atom. For the formation energy without anion corrections, the calculation gives -46.1 kcal/mol of atoms.

Unit cell a=6.8078 b=6.8078 c=6.9919 alpha=99.34 beta=99.34 gamma=120.15
Fractional positions:
Tm1 0.3335 0.6665 0.0000
Tm2 0.6665 0.3335 0.0000
Nd1 0.1650 0.8350 0.5000
Nd2 0.5000 0.5000 0.5000
Nd3 0.8350 0.1650 0.5000
S1 0.2609 0.2609 0.7710
S2 0.5862 0.9233 0.7697
S3 0.4138 0.0767 0.2303
S4 0.7391 0.7391 0.2290
S5 0.9233 0.5862 0.7697
S6 0.0767 0.4138 0.2303
Dy1 0.0000 0.0000 0.0000

=====

A relaxed NdDy2TmS6 crystal, computed with PBE-GGA.

Properties
Its uncorrected energy is -6.366 eV/atom. For the formation energy without anion corrections, the calculation gives -47.2 kcal/mol of atoms.

Unit cell a=6.9593 b=6.9594 c=7.3746 alpha=61.83 beta=61.84 gamma=59.99
Fractional positions:
S1 0.1316 0.3996 0.7513
S2 0.9205 0.6102 0.2476
S3 0.7176 0.1315 0.7513
S4 0.2217 0.9205 0.2476
S5 0.3996 0.7176 0.7513
S6 0.6101 0.2218 0.2475
Dy1 0.5186 0.5185 0.4444
Dy2 0.0144 0.0145 0.9568
Tm1 0.3170 0.3170 0.0489
Nd1 0.8104 0.8104 0.5686

=====

A relaxed NdDyTm2S4 crystal, computed with PBE-GGA.

Properties
Its uncorrected energy is -6.320 eV/atom. For the formation energy without anion corrections, the calculation gives -45.4 kcal/mol of atoms.

Unit cell a=3.8598 b=6.8869 c=6.7512 alpha=71.26 beta=90.00 gamma=90.00
Fractional positions:
Dy1 0.0000 0.5000 0.5000
S1 0.0000 0.7666 0.7381
S2 0.5000 0.2382 0.7479
S3 0.0000 0.2334 0.2619
S4 0.5000 0.7618 0.2521
Tm1 0.0000 0.0000 0.0000
Tm2 0.5000 0.0000 0.5000
Nd1 0.5000 0.5000 0.0000

=====

A relaxed Nd2Dy3TmS6 crystal, computed with PBE-GGA.

Properties
Its uncorrected energy is -6.371 eV/atom. For the formation energy without anion corrections, the calculation gives -45.9 kcal/mol of atoms.

Unit cell a=3.9333 b=7.9534 c=8.8229 alpha=103.05 beta=102.88 gamma=90.00
Fractional positions:
S1 0.6626 0.5922 0.3252
S2 0.9959 0.2428 0.9917
S3 0.6636 0.0718 0.3271
S4 0.0041 0.7572 0.0083
S5 0.3364 0.9282 0.6729
S6 0.3374 0.4078 0.6748
Nd1 0.1680 0.3363 0.3359
Nd2 0.8320 0.6637 0.6641
Tm1 0.5000 0.0000 0.0000
Dy1 0.8302 0.1667 0.6604
Dy2 0.1698 0.8333 0.3396
Dy3 0.5000 0.5000 0.0000

=====

A relaxed Nd3Dy2TmS6 crystal, computed with PBE-GGA.

Properties
Its uncorrected energy is -6.403 eV/atom. For the formation energy without anion corrections, the calculation gives -46.3 kcal/mol of atoms.

Unit cell a=6.8404 b=6.8404 c=6.9828 alpha=99.38 beta=99.38 gamma=120.16
Fractional positions:
Nd1 0.5000 0.5000 0.5000
Nd2 0.1685 0.8315 0.5000
Nd3 0.8315 0.1685 0.5000
S1 0.7482 0.7482 0.2332
S2 0.2518 0.2518 0.7668
S3 0.0770 0.4066 0.2316
S4 0.4066 0.0770 0.2316
S5 0.5934 0.9230 0.7684
S6 0.9230 0.5934 0.7684
Tm1 0.0000 0.0000 0.0000
Dy1 0.6668 0.3332 0.0000
Dy2 0.3332 0.6668 0.0000

=====

A relaxed Nd3Dy3TmS8 crystal, computed with PBE-GGA.

Properties
Its uncorrected energy is -6.426 eV/atom. For the formation energy without anion corrections, the calculation gives -47.3 kcal/mol of atoms.

Unit cell a=7.9033 b=7.9031 c=7.9925 alpha=119.63 beta=90.00 gamma=120.00
Fractional positions:
Dy1 0.5000 0.0000 0.5000
Dy2 0.0000 0.5000 0.5000
Dy3 0.5000 0.5000 0.5000
S1 0.7562 0.5124 0.2657
S2 0.7562 0.0095 0.2657
S3 0.2438 0.9905 0.7343
S4 0.2549 0.5099 0.2648
S5 0.7466 0.9905 0.7343
S6 0.2438 0.4876 0.7343
S7 0.2534 0.0095 0.2657
S8 0.7451 0.4901 0.7352
Nd1 0.5000 0.5000 0.0000
Nd2 0.0000 0.5000 0.0000
Nd3 0.0000 0.0000 0.0000
Tm1 0.0000 0.0000 0.5000

=====

A relaxed NdDy4TmS8 crystal, computed with PBE-GGA.

Properties
Its uncorrected energy is -6.259 eV/atom. For the formation energy without anion corrections, the calculation gives -44.4 kcal/mol of atoms.

Unit cell a=8.0870 b=8.0870 c=8.0648 alpha=59.91 beta=59.91 gamma=60.00
Fractional positions:
S1 0.7600 0.7600 0.2532
S2 0.2364 0.7847 0.7426
S3 0.2364 0.2364 0.7426
S4 0.7847 0.2364 0.7426
S5 0.7565 0.7565 0.7304
S6 0.2268 0.7600 0.2532
S7 0.2394 0.2394 0.2819
S8 0.7600 0.2268 0.2532
Dy1 0.9992 0.5019 0.4996
Dy2 0.9992 0.9992 0.4996
Dy3 0.5019 0.9992 0.4996
Dy4 0.6243 0.6243 0.1271
Tm1 0.9995 0.9995 0.0014
Nd1 0.3756 0.3756 0.8732

=====

A relaxed NdDy3Tm2S6 crystal, computed with PBE-GGA.

Properties
Its uncorrected energy is -6.334 eV/atom. For the formation energy without anion corrections, the calculation gives -45.6 kcal/mol of atoms.

Unit cell a=6.7875 b=6.7875 c=6.7670 alpha=99.60 beta=99.60 gamma=120.18
Fractional positions:
S1 0.0837 0.4303 0.2521
S2 0.4303 0.0837 0.2521
S3 0.2634 0.2634 0.7526
S4 0.5697 0.9163 0.7479
S5 0.9163 0.5697 0.7479
S6 0.7366 0.7366 0.2474
Dy1 0.1603 0.8397 0.5000
Dy2 0.8397 0.1603 0.5000
Dy3 0.5000 0.5000 0.5000
Tm1 0.3344 0.6656 0.0000
Tm2 0.6656 0.3344 0.0000
Nd1 0.0000 0.0000 0.0000

=====

A relaxed Nd4Dy3TmS8 crystal, computed with PBE-GGA.

Properties
Its uncorrected energy is -6.403 eV/atom. For the formation energy without anion corrections, the calculation gives -46.2 kcal/mol of atoms.

Unit cell a=7.8903 b=8.0382 c=7.8904 alpha=119.39 beta=120.00 gamma=90.00
Fractional positions:
S1 0.7445 0.7334 0.4889
S2 0.2555 0.2666 0.5111
S3 0.2422 0.7312 0.4843
S4 0.7469 0.7312 0.9891
S5 0.7578 0.2688 0.0109
S6 0.2531 0.2688 0.0109
S7 0.7578 0.2688 0.5157
S8 0.2422 0.7312 0.9891
Nd1 0.5000 0.0000 0.0000
Nd2 0.0000 0.0000 0.5000
Nd3 0.5000 0.0000 0.5000
Nd4 0.0000 0.0000 0.0000
Dy1 0.5000 0.5000 0.5000
Dy2 0.5000 0.5000 0.0000
Dy3 0.0000 0.5000 0.5000
Tm1 0.0000 0.5000 0.0000

=====

A relaxed Nd2DyTmS5 crystal, computed with PBE-GGA.

Properties
Its uncorrected energy is -5.850 eV/atom. For the formation energy without anion corrections, the calculation gives -34.3 kcal/mol of atoms.

Unit cell a=4.8298 b=4.8298 c=10.2385 alpha=90.00 beta=90.00 gamma=90.00
Fractional positions:
S1 0.5000 0.0000 0.5000
S2 0.0000 0.0000 0.2460
S3 0.0000 0.5000 0.5000
S4 0.0000 0.0000 0.7540
S5 0.5000 0.5000 0.0000
Tm1 0.0000 0.0000 0.5000
Dy1 0.0000 0.0000 0.0000
Nd1 0.5000 0.5000 0.2942
Nd2 0.5000 0.5000 0.7058

=====

A relaxed NdDy2TmS4 crystal, computed with PBE-GGA.

Properties
Its uncorrected energy is -6.344 eV/atom. For the formation energy without anion corrections, the calculation gives -45.5 kcal/mol of atoms.

Unit cell a=3.8861 b=6.7913 c=6.8908 alpha=71.12 beta=90.00 gamma=90.00
Fractional positions:
S1 0.0000 0.7578 0.7375
S2 0.5000 0.2499 0.7404
S3 0.5000 0.7501 0.2596
S4 0.0000 0.2422 0.2625
Tm1 0.0000 0.5000 0.5000
Nd1 0.5000 0.5000 0.0000
Dy1 0.0000 0.0000 0.0000
Dy2 0.5000 0.0000 0.5000